The following is a DFT calculation (PBEsol) of a relaxed MgCr2Os crystal.

The space group is I4/mmm (No. 139) and the conventional cell measures 3.675, 3.675 and 7.781 Å, with angles of 90.00, 90.00 and 90.00 degrees. The inequivalent atoms are Mg at (0.000, 0.000, 0.000), Cr at (0.000, 0.500, 0.250) and Os at (0.000, 0.000, 0.500).

The value obtained for the energy of formation from the pure elements is 526 meV/atom. The total magnetization comes out at 0.001 μB/f.u. Its total energy is -8.08 eV/atom.